# MnReTe2

A relaxed structure of MnReTe2 (PBE, the Alexandria database).

Calculated values
The space-group type is P4mm, No. 99. As for the uncorrected formation energy: 0.25 eV/atom.

Cell: 3.3635 3.3635 7.9634 Å, 90.00 90.00 90.00°
Closest atoms and distances in Å follow each position.
Atoms (fractional coordinates):
Mn: 0.0000 0.0000 0.5292  5 Te 2.74-2.95, 4 Re 2.79
Re: 0.5000 0.5000 0.7112  4 Mn 2.79, 5 Te 2.80-2.81
Te: 0.0000 0.0000 0.9002  4 Re 2.81, 1 Mn 2.95
Te: 0.5000 0.5000 0.3594  4 Mn 2.74, 1 Re 2.80

---

# Tl2GeTe

A relaxed structure of Tl2GeTe (PBE, the Alexandria database).

Calculated values
The space-group type is I-42d, No. 122. As for the uncorrected formation energy: 0.07 eV/atom.

Cell: 6.6145 6.6145 8.1829 Å, 66.16 66.16 90.00°
Closest atoms and distances in Å follow each position.
Atoms (fractional coordinates):
Tl: 0.5817 0.1250 0.2500  2 Ge 2.72
Tl: 0.1683 0.6250 0.2500  2 Ge 2.72
Tl: 0.3750 0.4183 0.7500  2 Ge 2.72
Tl: 0.8750 0.8317 0.7500  2 Ge 2.72
Te: 0.0000 0.0000 0.0000  4 Tl 3.05
Te: 0.7500 0.2500 0.5000  4 Tl 3.05
Ge: 0.5000 0.5000 0.0000  4 Tl 2.72
Ge: 0.2500 0.7500 0.5000  4 Tl 2.72

---

# Li2ScAu

A relaxed structure of Li2ScAu (PBE, the Alexandria database).

Calculated values
The space-group type is P4/mmm, No. 123. The value obtained for the formation energy is -0.22 eV per atom.

Cell: 3.4400 3.4444 6.0150 Å, 90.00 90.00 90.00°
Closest atoms and distances in Å follow each position.
Atoms (fractional coordinates):
Au: 0.5000 0.5000 0.7500  8 Li 2.71, 2 Sc 3.01
Li: 0.0000 0.0000 0.9497  1 Li 2.40
Li: 0.0000 0.0000 0.5503  1 Li 2.40
Sc: 0.5000 0.5000 0.2500  2 Au 3.01, 8 Li 3.03

---

The N(E_F) results, record by record, are as follows: 2.64 0.06 3.38 states/eV/cell.